1.
A plane-wave DFT calculation with PBE with a Hubbard U was carried out for BaCo2Tc2O7 after structural relaxation.

Summary:
Total energy (eV per atom): -7.064

Cell lengths 17.8880, 4.0466, 4.0984 Å; angles 90.00, 103.18, 90.00 degrees
Space group C2/m (No. 12)
Inequivalent atoms, fractional coordinates:
Ba 0.0000 0.0000 0.0000
Co 0.2470 0.5000 0.2485
Tc 0.1145 0.5000 0.6153
O 0.0000 0.5000 0.5000
O 0.1192 0.0000 0.6165
O 0.1197 0.5000 0.1189
O 0.2337 0.5000 0.7359

2.
A plane-wave DFT calculation with PBE with a Hubbard U was carried out for BaCoTeO5 after structural relaxation.

Summary:
Total energy (eV per atom): -5.937

Cell lengths 7.2021, 9.7674, 7.5970 Å; angles 90.00, 114.55, 90.00 degrees
Space group C2/c (No. 15)
Inequivalent atoms, fractional coordinates:
Ba 0.0000 0.1652 0.2500
Co 0.0000 0.1950 0.7500
Te 0.0000 0.5000 0.0000
O 0.0000 0.4394 0.2500
O 0.0900 0.3140 0.5895
O 0.2158 0.0597 0.9105

3.
A plane-wave DFT calculation with PBE with a Hubbard U was carried out for Ba2CoTeO after structural relaxation.

Summary:
Total energy (eV per atom): -4.588

Cell lengths 5.8697, 5.8697, 3.9921 Å; angles 90.00, 90.00, 90.00 degrees
Space group P4/mmm (No. 123)
Inequivalent atoms, fractional coordinates:
Ba 0.0000 0.5000 0.0000
Co 0.0000 0.0000 0.5000
Te 0.5000 0.5000 0.5000
O 0.0000 0.0000 0.0000

4.
A plane-wave DFT calculation with PBE with a Hubbard U was carried out for BaCoTeO4 after structural relaxation.

Summary:
Total energy (eV per atom): -5.706

Cell lengths 5.6702, 6.6661, 7.0729 Å; angles 90.00, 95.08, 90.00 degrees
Space group P2_1/m (No. 11)
Inequivalent atoms, fractional coordinates:
Ba 0.2233 0.2500 0.1157
Co 0.2623 0.2500 0.6631
Te 0.2177 0.7500 0.3811
O 0.0109 0.0514 0.7478
O 0.4227 0.7500 0.1740
O 0.4326 0.2500 0.4506

| no. | calculated volume (Å³/f.u.) |
| --- | --- |
| 1 | 144.4 |
| 2 | 121.5 |
| 3 | 137.5 |
| 4 | 133.1 |